Computed, not measured: an optimized crystal structure of La2Mg2Sb3 at the PBE level of DFT.

extended XYZ file:
```
14
Lattice="-0.8821 0.1682 4.4665 0.4089 -8.1672 2.7118 10.4673 0.4444 4.3740" Properties=species:S:1:pos:R:3 pbc="T T T"
La 3.3760 -0.8652 3.0228
La 6.6182 -6.6894 8.5295
La 9.7139 -1.4119 6.6186
La 0.2803 -6.1427 4.9337
Mg 7.2306 -1.5347 3.8093
Mg 2.7636 -6.0200 7.7431
Mg 6.8964 -3.8913 6.1556
Mg 3.0977 -3.6633 5.3968
Sb 9.2350 -7.3627 6.7482
Sb 0.7592 -0.1919 4.8042
Sb 1.8313 -3.9263 2.8331
Sb 8.1628 -3.6283 8.7193
Sb 4.8790 -5.9322 5.8340
Sb 5.1152 -1.6224 5.7183
```

## Properties
E_tot: -4.461 eV/atom
mass density: 5.473 g cm⁻³
symmetry: C2/m, No. 12
formation energy without anion corrections: -0.831 eV/atom
D(E_F): 9.1 states/eV/cell